[1]
VASP calculation (PBE-GGA) on a relaxed Li2TmPd3 crystal.

Output
The value obtained for the polymorph energy (0 for the lowest one) is 0.06 eV per formula unit. Its calculated density is 8.60 Mg/m³. Its volume is 96.9 Å³/cell. For the electronic total energy, the calculation gives -27.73 eV per cell. The value obtained for the energy of formation from the pure elements is -642 meV per atom.

Cell: 4.4771 4.4771 5.5825 Å, 90.00 90.00 120.00°
Space group P-3m1 (No. 164)
Asymmetric unit:
Li: 0.3333 0.6667 0.1632 x2
Tm: 0.0000 0.0000 0.5000 x1
Pd: 0.0000 0.0000 0.0000 x1
Pd: 0.3333 0.6667 0.7010 x2



[2]
VASP calculation (PBE-GGA) on a relaxed LiTm6Pd5 crystal.

Output
Its calculated density is 10.23 Mg/m³. Its volume is 504.2 Å³/cell. For the electronic total energy, the calculation gives -128.26 eV per cell. The value obtained for the energy of formation from the pure elements is -785 meV per atom.

Cell: 4.9058 6.9654 14.7538 Å, 90.00 90.00 90.00°
Space group Immm (No. 71)
Asymmetric unit:
Li: 0.0000 0.0000 0.0000 x2
Tm: 0.0000 0.2404 0.5000 x4
Tm: 0.0000 0.2546 0.1697 x8
Pd: 0.0000 0.0000 0.3291 x4
Pd: 0.0000 0.5000 0.0000 x2
Pd: 0.0000 0.5000 0.3431 x4



[3]
VASP calculation (PBE-GGA) on a relaxed Li3TmPd4 crystal.

Output
The value obtained for the polymorph energy (0 for the lowest one) is 1.60 eV per formula unit. Its calculated density is 8.07 Mg/m³. Its volume is 253.3 Å³/cell. For the electronic total energy, the calculation gives -68.71 eV per cell. The value obtained for the energy of formation from the pure elements is -421 meV per atom.

Cell: 5.5125 9.1721 5.0093 Å, 90.00 90.00 90.00°
Space group Imm2 (No. 44)
Asymmetric unit:
Li: 0.0000 0.0000 0.0000 x2
Li: 0.0000 0.2207 0.7156 x4
Tm: 0.0000 0.5000 0.4630 x2
Pd: 0.0000 0.2429 0.2127 x4
Pd: 0.2476 0.0000 0.4632 x4



[4]
VASP calculation (PBE-GGA) on a relaxed LiYTmPd crystal.

Output
Its calculated density is 6.97 Mg/m³. Its volume is 353.6 Å³/cell. For the electronic total energy, the calculation gives -79.09 eV per cell. The value obtained for the energy of formation from the pure elements is -433 meV per atom.

Cell: 7.0716 7.0716 7.0716 Å, 90.00 90.00 90.00°
Space group F-43m (No. 216)
Asymmetric unit:
Li: 0.0000 0.0000 0.0000 x4
Y: 0.2500 0.2500 0.7500 x4
Tm: 0.2500 0.2500 0.2500 x4
Pd: 0.0000 0.0000 0.5000 x4



[5]
VASP calculation (PBE-GGA) on a relaxed Li2Y2TmPd5 crystal.

Output
Its calculated density is 8.25 Mg/m³. Its volume is 359.5 Å³/cell. For the electronic total energy, the calculation gives -109.49 eV per cell. The value obtained for the energy of formation from the pure elements is -755 meV per atom.

Cell: 9.9095 9.9095 3.6607 Å, 90.00 90.00 90.00°
Space group P4/mbm (No. 127)
Asymmetric unit:
Li: 0.1206 0.3794 0.0000 x4
Y: 0.1750 0.6750 0.0000 x4
Tm: 0.0000 0.0000 0.0000 x2
Pd: 0.0000 0.5000 0.5000 x2
Pd: 0.0693 0.2128 0.5000 x8



[6]
VASP calculation (PBE-GGA) on a relaxed LiTmZn2Pd4 crystal.

Output
Its calculated density is 9.61 Mg/m³. Its volume is 379.6 Å³/cell. For the electronic total energy, the calculation gives -105.08 eV per cell. The value obtained for the energy of formation from the pure elements is -665 meV per atom.

Cell: 4.4259 4.4259 22.3764 Å, 90.00 90.00 120.00°
Space group R-3m (No. 166, hexagonal axes)
Asymmetric unit:
Li: 0.0000 0.0000 0.0000 x3
Tm: 0.0000 0.0000 0.5000 x3
Zn: 0.0000 0.0000 0.2547 x6
Pd: 0.0000 0.0000 0.1126 x6
Pd: 0.0000 0.0000 0.3729 x6



[7]
VASP calculation (PBE-GGA) on a relaxed Li2Tm2ZnPd5 crystal.

Output
Its calculated density is 9.72 Mg/m³. Its volume is 324.2 Å³/cell. For the electronic total energy, the calculation gives -93.41 eV per cell. The value obtained for the energy of formation from the pure elements is -669 meV per atom.

Cell: 9.4925 9.4925 3.5981 Å, 90.00 90.00 90.00°
Space group P4/mbm (No. 127)
Asymmetric unit:
Li: 0.1210 0.3790 0.0000 x4
Tm: 0.1784 0.6784 0.0000 x4
Zn: 0.0000 0.0000 0.0000 x2
Pd: 0.0000 0.5000 0.5000 x2
Pd: 0.0667 0.2038 0.5000 x8



[8]
VASP calculation (PBE-GGA) on a relaxed LiTmZnPd crystal.

Output
Its calculated density is 8.15 Mg/m³. Its volume is 283.4 Å³/cell. For the electronic total energy, the calculation gives -58.86 eV per cell. The value obtained for the energy of formation from the pure elements is -466 meV per atom.

Cell: 6.5686 6.5686 6.5686 Å, 90.00 90.00 90.00°
Space group F-43m (No. 216)
Asymmetric unit:
Li: 0.0000 0.0000 0.0000 x4
Tm: 0.2500 0.2500 0.7500 x4
Zn: 0.2500 0.2500 0.2500 x4
Pd: 0.0000 0.0000 0.5000 x4



Q: Number 5 is which compound?
A: Li2Y2TmPd5



Repeat the first record exactly.
VASP calculation (PBE-GGA) on a relaxed Li2TmPd3 crystal.

Output
The value obtained for the polymorph energy (0 for the lowest one) is 0.06 eV per formula unit. Its calculated density is 8.60 Mg/m³. Its volume is 96.9 Å³/cell. For the electronic total energy, the calculation gives -27.73 eV per cell. The value obtained for the energy of formation from the pure elements is -642 meV per atom.

Cell: 4.4771 4.4771 5.5825 Å, 90.00 90.00 120.00°
Space group P-3m1 (No. 164)
Asymmetric unit:
Li: 0.3333 0.6667 0.1632 x2
Tm: 0.0000 0.0000 0.5000 x1
Pd: 0.0000 0.0000 0.0000 x1
Pd: 0.3333 0.6667 0.7010 x2



Please write out number 6 again, unchanged.
VASP calculation (PBE-GGA) on a relaxed LiTmZn2Pd4 crystal.

Output
Its calculated density is 9.61 Mg/m³. Its volume is 379.6 Å³/cell. For the electronic total energy, the calculation gives -105.08 eV per cell. The value obtained for the energy of formation from the pure elements is -665 meV per atom.

Cell: 4.4259 4.4259 22.3764 Å, 90.00 90.00 120.00°
Space group R-3m (No. 166, hexagonal axes)
Asymmetric unit:
Li: 0.0000 0.0000 0.0000 x3
Tm: 0.0000 0.0000 0.5000 x3
Zn: 0.0000 0.0000 0.2547 x6
Pd: 0.0000 0.0000 0.1126 x6
Pd: 0.0000 0.0000 0.3729 x6



Q: Number 2 is which compound?
A: LiTm6Pd5